Pd3N: relaxed, GGA-PBE.

a = 4.8397 Å, b = 4.8397 Å, c = 4.8397 Å
α = 90.00°, β = 90.00°, γ = 90.00°
Closest atoms and distances in Å follow each position.
Space group Pm-3n (No. 223)
Unique sites:
Pd 0.0000 0.2500 0.5000 (multiplicity 6)  2 Pd 2.42, 4 N 2.71
N 0.0000 0.0000 0.0000 (multiplicity 2)  12 Pd 2.71

Crystal system = cubic

---

In2TcIr: relaxed, GGA-PBE.

a = 6.5580 Å, b = 6.5580 Å, c = 6.5580 Å
α = 90.00°, β = 90.00°, γ = 90.00°
Closest atoms and distances in Å follow each position.
Space group F-43m (No. 216)
Unique sites:
In 0.0000 0.0000 0.0000 (multiplicity 4)  4 In 2.84, 4 Ir 2.84
In 0.2500 0.2500 0.2500 (multiplicity 4)  4 In 2.84, 4 Tc 2.84
Tc 0.0000 0.0000 0.5000 (multiplicity 4)  4 In 2.84, 4 Ir 2.84
Ir 0.2500 0.2500 0.7500 (multiplicity 4)  4 In 2.84, 4 Tc 2.84

Crystal system = cubic

---

Nd2Sm2C2I5: relaxed, GGA-PBE.

a = 20.1281 Å, b = 4.0472 Å, c = 8.7632 Å
α = 90.00°, β = 102.74°, γ = 90.00°
Closest atoms and distances in Å follow each position.
Space group C2/m (No. 12)
Unique sites:
Nd 0.9998 0.0000 0.1908 (multiplicity 4)  4 C 2.72
Sm 0.1499 0.5000 0.0795 (multiplicity 4)  1 C 2.24
C 0.0356 0.5000 0.0182 (multiplicity 4)  1 C 1.40
I 0.0000 0.5000 0.5000 (multiplicity 2)  4 Nd 3.38
I 0.1622 0.0000 0.3538 (multiplicity 4)  2 Sm 3.11, 1 Nd 3.27
I 0.1683 0.0000 0.8156 (multiplicity 4)  2 Sm 3.16, 1 Nd 3.37

E above lowest polymorph = 0.000 eV/atom
Crystal system = monoclinic

---

Ho2NiC4: relaxed, GGA-PBE.

a = 7.4316 Å, b = 9.5796 Å, c = 5.0392 Å
α = 90.00°, β = 90.00°, γ = 90.00°
Closest atoms and distances in Å follow each position.
Space group Ibam (No. 72)
Unique sites:
Ho 0.1642 0.1437 0.0000 (multiplicity 8)  7 C 2.36-2.60
Ni 0.0000 0.5000 0.2500 (multiplicity 4)  4 C 1.98
C 0.1532 0.1268 0.5000 (multiplicity 8)  1 C 1.34
C 0.1742 0.4153 0.0000 (multiplicity 8)  1 C 1.34

Crystal system = orthorhombic

---

Lu3In3AgPt2: relaxed, GGA-PBE.

a = 7.7507 Å, b = 7.7507 Å, c = 3.7015 Å
α = 90.00°, β = 90.00°, γ = 120.00°
Closest atoms and distances in Å follow each position.
Space group P-62m (No. 189)
Unique sites:
Lu 0.0000 0.4095 0.0000 (multiplicity 3)  4 Pt 2.99, 2 In 3.10, 1 Ag 3.17
In 0.0000 0.7304 0.5000 (multiplicity 3)  2 Ag 2.79, 2 Pt 2.86, 2 Lu 3.10
Ag 0.0000 0.0000 0.0000 (multiplicity 1)  6 In 2.79
Pt 0.3333 0.6667 0.5000 (multiplicity 2)  3 In 2.86, 6 Lu 2.99

Crystal system = hexagonal

---

ZrAsPd: relaxed, GGA-PBE.

a = 3.9295 Å, b = 19.5986 Å, c = 6.7698 Å
α = 90.00°, β = 90.00°, γ = 90.00°
Closest atoms and distances in Å follow each position.
Space group Pmmn (No. 59, origin choice 2)
Unique sites:
Zr 0.2500 0.0682 0.0293 (multiplicity 4)  5 As 2.78-2.94, 4 Pd 3.03-3.05
Zr 0.2500 0.1277 0.5431 (multiplicity 4)  5 As 2.77-2.86, 2 Pd 3.06
Zr 0.2500 0.2500 0.1564 (multiplicity 2)  5 As 2.76-2.82, 6 Pd 2.99-3.09
As 0.2500 0.2500 0.7483 (multiplicity 2)  6 Pd 2.63, 3 Zr 2.76-2.77
As 0.2500 0.5528 0.2582 (multiplicity 4)  4 Pd 2.56-2.68, 5 Zr 2.78-2.83
As 0.2500 0.6513 0.7554 (multiplicity 4)  3 Pd 2.50-2.55
Pd 0.2500 0.5277 0.6475 (multiplicity 4)  4 As 2.53-2.68
Pd 0.2500 0.6739 0.1188 (multiplicity 4)  4 As 2.50-2.63
Pd 0.2500 0.7500 0.5101 (multiplicity 2)  4 As 2.55-2.63

Crystal system = orthorhombic

---

NdZr2N3: relaxed, GGA-PBE.

a = 3.3349 Å, b = 3.3349 Å, c = 8.3880 Å
α = 90.00°, β = 90.00°, γ = 120.00°
Closest atoms and distances in Å follow each position.
Space group P-3m1 (No. 164)
Unique sites:
Nd 0.0000 0.0000 0.0000 (multiplicity 1)  6 N 2.54
Zr 0.3333 0.6667 0.3401 (multiplicity 2)  6 N 2.26-2.35
N 0.0000 0.0000 0.5000 (multiplicity 1)  6 Zr 2.35
N 0.3333 0.6667 0.8020 (multiplicity 2)  3 Zr 2.26

Crystal system = trigonal

---

NdDy: relaxed, GGA-PBE.

a = 5.8032 Å, b = 5.8032 Å, c = 6.3039 Å
α = 90.00°, β = 90.00°, γ = 120.00°
Closest atoms and distances in Å follow each position.
Space group P6_3/mmc (No. 194)
Unique sites:
Nd 0.3333 0.6667 0.2500 (multiplicity 2)  5 Dy 3.15-3.35
Dy 0.3333 0.6667 0.7500 (multiplicity 2)  5 Nd 3.15-3.35

E above lowest polymorph = 1.200 eV/atom
Formation energy = 1.2299 eV per atom
Crystal system = hexagonal

---

TbF4: relaxed, GGA-PBE.

a = 4.4629 Å, b = 5.9828 Å, c = 8.6177 Å
α = 90.00°, β = 90.00°, γ = 90.00°
Closest atoms and distances in Å follow each position.
Space group P2_12_12_1 (No. 19)
Unique sites:
Tb 0.0731 0.0178 0.0713 (multiplicity 4)  8 F 2.15-2.35
F 0.0860 0.3510 0.9400 (multiplicity 4)  3 Tb 2.29-2.42, 1 F 2.41
F 0.1817 0.3091 0.2460 (multiplicity 4)  1 F 2.02
F 0.2016 0.2989 0.5769 (multiplicity 4)  2 Tb 2.15-2.20
F 0.2356 0.0052 0.8186 (multiplicity 4)  1 F 2.02

E above lowest polymorph = 0.000 eV/atom
Crystal system = orthorhombic

---

NaPrRe: relaxed, GGA-PBE.

a = 6.8789 Å, b = 6.8789 Å, c = 6.8789 Å
α = 90.00°, β = 90.00°, γ = 90.00°
Closest atoms and distances in Å follow each position.
Space group F-43m (No. 216)
Unique sites:
Na 0.0000 0.0000 0.0000 (multiplicity 4)  4 Pr 2.98
Pr 0.2500 0.2500 0.7500 (multiplicity 4)  4 Na 2.98, 4 Re 2.98
Re 0.0000 0.0000 0.5000 (multiplicity 4)  4 Pr 2.98

E above lowest polymorph = 0.007 eV/atom
Crystal system = cubic

---

NdInPt: relaxed, GGA-PBE.

a = 7.5935 Å, b = 7.5935 Å, c = 4.1541 Å
α = 90.00°, β = 90.00°, γ = 120.00°
Closest atoms and distances in Å follow each position.
Space group P-62m (No. 189)
Unique sites:
Nd 0.0000 0.5887 0.0000 (multiplicity 3)  5 Pt 3.09-3.12, 6 In 3.30-3.43
In 0.0000 0.2505 0.5000 (multiplicity 3)  4 Pt 2.82-2.90
Pt 0.0000 0.0000 0.0000 (multiplicity 1)  6 In 2.82, 3 Nd 3.12
Pt 0.3333 0.6667 0.5000 (multiplicity 2)  3 In 2.90, 6 Nd 3.09

Crystal system = hexagonal

---

IrSe3: relaxed, GGA-PBE.

a = 5.5322 Å, b = 3.5466 Å, c = 9.1269 Å
α = 90.00°, β = 106.17°, γ = 90.00°
Closest atoms and distances in Å follow each position.
Space group P2_1/m (No. 11)
Unique sites:
Ir 0.0391 0.2500 0.3197 (multiplicity 2)  7 Se 2.50-2.67
Se 0.2361 0.2500 0.8487 (multiplicity 2)  2 Ir 2.55, 1 Se 2.68
Se 0.2435 0.7500 0.5092 (multiplicity 2)  3 Ir 2.50-2.51
Se 0.2594 0.7500 0.1795 (multiplicity 2)  2 Ir 2.67, 2 Se 2.68-2.87

Crystal system = monoclinic

---

It is found that the raw total energy values, taken in the order of the records, are -18.587 -22.892 -57.117 -53.441 -43.993 -21.143 -56.370 -6.905 -27.856 -13.721 -16.415 -19.286 eV/f.u..